Entry 1:
# DySiAg

A relaxed structure of DySiAg (PBE, Alexandria).

The calculation puts the uncorrected formation energy at -0.557 eV/atom. Its density of states at the Fermi level is 0.845 states/eV/f.u.

The structure belongs to space group Cmcm (No. 63); the cell edges are 4.102, 15.968 and 3.746 Å and the angles 90.00°, 90.00° and 90.00°. The inequivalent atoms are Dy at (0.000, 0.099, 0.250), Si at (0.000, 0.455, 0.250) and Ag at (0.000, 0.289, 0.250).

---

Entry 2:
# NaPd3

A relaxed structure of NaPd3 (PBE, Alexandria).

The calculation puts the energy of formation at -2.43 kJ/mol of atoms. Its density of states at the Fermi level is 4.929 states/eV/f.u.

The structure belongs to space group Fmmm (No. 69); the cell edges are 5.652, 8.114 and 11.311 Å and the angles 90.00°, 90.00° and 90.00°. The inequivalent atoms are Na at (0.000, 0.000, 0.126), Pd at (0.000, 0.000, 0.379), Pd at (0.250, 0.250, 0.000) and Pd at (0.250, 0.250, 0.250).

---

Entry 3:
# KZr2Ir

A relaxed structure of KZr2Ir (PBE, Alexandria).

The calculation puts the distance to the lowest polymorph of the same formula at 0.231 eV per atom. The calculation puts the energy of formation at 21.70 kJ/mol of atoms. Its density of states at the Fermi level is 5.038 states/eV/f.u.

The structure belongs to space group Cm (No. 8); the cell edges are 9.478, 3.447 and 8.197 Å and the angles 90.00°, 108.39° and 90.00°. The inequivalent atoms are K at (0.000, 0.000, 0.000), Zr at (0.155, 0.000, 0.621), Zr at (0.376, 0.000, 0.387) and Ir at (0.159, 0.500, 0.387).